(1)
The following is a DFT calculation (PBE) of a relaxed SrLa2ZnIr crystal.

Distance to the lowest polymorph of the same formula = 62 meV per atom
Crystal system = tetragonal
ΔE_f = -0.21 eV/atom

Unit cell a=5.526 b=5.526 c=6.008 alpha=90.00 beta=90.00 gamma=90.00
Positions (direct):
Sr  0.000  0.000  0.000
La  0.000  0.500  0.500
La  0.500  0.000  0.500
Zn  0.500  0.500  0.000
Ir  0.000  0.000  0.500

***

(2)
The following is a DFT calculation (PBE) of a relaxed SrLa2ZnIr crystal.

Distance to the lowest polymorph of the same formula = 0 meV per atom
Crystal system = tetragonal
ΔE_f = -0.27 eV/atom

Unit cell a=5.604 b=5.604 c=5.171 alpha=90.00 beta=90.00 gamma=90.00
Positions (direct):
Sr  0.000  0.000  0.000
La  0.000  0.500  0.500
La  0.500  0.000  0.500
Zn  0.500  0.500  0.000
Ir  0.500  0.500  0.500

***

(3)
The following is a DFT calculation (PBE) of a relaxed LaTaIr2 crystal.

Distance to the lowest polymorph of the same formula = 189 meV per atom
Crystal system = monoclinic
ΔE_f = -0.37 eV/atom

Unit cell a=3.230 b=4.551 c=5.713 alpha=90.00 beta=106.19 gamma=90.00
Positions (direct):
La  0.000  0.000  0.000
Ta  0.729  0.500  0.454
Ir  0.259  0.000  0.509
Ir  0.419  0.500  0.837

***

(4)
The following is a DFT calculation (PBE) of a relaxed LaTa2Ir2 crystal.

Distance to the lowest polymorph of the same formula = 378 meV per atom
Crystal system = tetragonal
ΔE_f = -0.24 eV/atom

Unit cell a=8.040 b=8.040 c=2.977 alpha=90.00 beta=90.00 gamma=90.00
Positions (direct):
La  0.000  0.000  0.000
La  0.500  0.500  0.000
Ta  0.157  0.343  0.500
Ta  0.343  0.843  0.500
Ta  0.657  0.157  0.500
Ta  0.843  0.657  0.500
Ir  0.129  0.629  0.000
Ir  0.371  0.129  0.000
Ir  0.629  0.871  0.000
Ir  0.871  0.371  0.000

***

(5)
The following is a DFT calculation (PBE) of a relaxed LaTaIr crystal.

Distance to the lowest polymorph of the same formula = 261 meV per atom
Crystal system = trigonal
ΔE_f = -0.25 eV/atom

Unit cell a=4.313 b=4.313 c=4.685 alpha=90.00 beta=90.00 gamma=120.00
Positions (direct):
La  0.000  0.000  0.000
Ta  0.667  0.333  0.515
Ir  0.333  0.667  0.454

***

(6)
The following is a DFT calculation (PBE) of a relaxed LaTaIr3 crystal.

Distance to the lowest polymorph of the same formula = 1822 meV per atom
Crystal system = cubic
ΔE_f = 2.11 eV/atom

Unit cell a=4.841 b=4.841 c=4.841 alpha=90.00 beta=90.00 gamma=90.00
Positions (direct):
La  0.000  0.000  0.000
Ta  0.500  0.500  0.500
Ir  0.000  0.000  0.500
Ir  0.000  0.500  0.000
Ir  0.500  0.000  0.000

***

(7)
The following is a DFT calculation (PBE) of a relaxed LaTa2Ir crystal.

Distance to the lowest polymorph of the same formula = 223 meV per atom
Crystal system = cubic
ΔE_f = 0.14 eV/atom

Unit cell a=4.729 b=4.729 c=4.729 alpha=60.00 beta=60.00 gamma=60.00
Positions (direct):
La  0.000  0.000  0.000
Ta  0.250  0.250  0.250
Ta  0.750  0.750  0.750
Ir  0.500  0.500  0.500

***

(8)
The following is a DFT calculation (PBE) of a relaxed LaTaIr2 crystal.

Distance to the lowest polymorph of the same formula = 538 meV per atom
Crystal system = tetragonal
ΔE_f = -0.02 eV/atom

Unit cell a=5.471 b=5.471 c=5.471 alpha=136.49 beta=136.49 gamma=63.23
Positions (direct):
La  0.000  0.000  0.000
Ta  0.250  0.750  0.500
Ir  0.500  0.500  0.000
Ir  0.750  0.250  0.500

***

The lowest distance to the lowest polymorph of the same formula belongs to which entry?
number 2